Record 1
Here is crystalline Ce4BiN at its relaxed geometry from Alexandria via LeMat-Bulk. Energies are from PBE-GGA.

a = 15.617 Å, b = 6.303 Å, c = 6.306 Å
α = 90.00°, β = 104.44°, γ = 90.00°
Space group C2/c (No. 15)
Inequivalent atoms, fractional coordinates:
Ce1 0.093 0.197 0.316 x8
Ce2 0.218 0.396 0.834 x8
Bi1 0.000 0.285 0.750 x4
N1 0.250 0.250 0.500 x4

## Properties
- Formation energy without anion corrections: -0.601 eV per atom
- Fermi-level density of states: 2.67 states/eV/atom
- Volume: 150.3 Å³/f.u.

=====

Record 2
Here is crystalline Ce10Bi4N3 at its relaxed geometry from Alexandria via LeMat-Bulk. Energies are from PBE-GGA.

a = 4.886 Å, b = 4.886 Å, c = 36.138 Å
α = 90.00°, β = 90.00°, γ = 90.00°
Space group I4/mmm (No. 139)
Inequivalent atoms, fractional coordinates:
Ce1 0.000 0.000 0.068 x4
Ce2 0.000 0.000 0.206 x4
Ce3 0.000 0.500 0.000 x4
Ce4 0.000 0.500 0.133 x8
Bi1 0.000 0.000 0.299 x4
Bi2 0.000 0.000 0.433 x4
N1 0.000 0.000 0.000 x2
N2 0.000 0.000 0.139 x4

## Properties
- Formation energy without anion corrections: -0.931 eV per atom
- Fermi-level density of states: 2.32 states/eV/atom
- Volume: 431.3 Å³/f.u.

=====

Record 3
Here is crystalline NaCeBiN at its relaxed geometry from Alexandria via LeMat-Bulk. Energies are from PBE-GGA.

a = 3.333 Å, b = 3.333 Å, c = 16.522 Å
α = 90.00°, β = 90.00°, γ = 90.00°
Space group I4mm (No. 107)
Inequivalent atoms, fractional coordinates:
Na1 0.000 0.000 0.000 x2
Ce1 0.000 0.000 0.317 x2
Bi1 0.000 0.000 0.644 x2
N1 0.000 0.000 0.856 x2

## Properties
- Formation energy without anion corrections: -0.674 eV per atom
- Fermi-level density of states: 1.23 states/eV/atom
- Volume: 91.8 Å³/f.u.

=====

Record 4
Here is crystalline Ce4Nd2Bi3N2 at its relaxed geometry from Alexandria via LeMat-Bulk. Energies are from PBE-GGA.

a = 4.736 Å, b = 4.736 Å, c = 27.017 Å
α = 90.00°, β = 90.00°, γ = 90.00°
Space group I4/mmm (No. 139)
Inequivalent atoms, fractional coordinates:
Ce1 0.000 0.500 0.086 x8
Nd1 0.000 0.000 0.195 x4
Bi1 0.000 0.000 0.320 x4
Bi2 0.000 0.000 0.500 x2
N1 0.000 0.000 0.104 x4

## Properties
- Formation energy without anion corrections: -0.982 eV per atom
- Fermi-level density of states: 2.06 states/eV/atom
- Volume: 303.0 Å³/f.u.

=====

Record 5
Here is crystalline CeNd2Bi2N2 at its relaxed geometry from Alexandria via LeMat-Bulk. Energies are from PBE-GGA.

a = 4.534 Å, b = 4.534 Å, c = 16.349 Å
α = 90.00°, β = 90.00°, γ = 90.00°
Space group I4/mmm (No. 139)
Inequivalent atoms, fractional coordinates:
Ce1 0.000 0.000 0.000 x2
Nd1 0.000 0.000 0.401 x4
Bi1 0.000 0.000 0.205 x4
N1 0.000 0.500 0.000 x4

## Properties
- Formation energy without anion corrections: -0.903 eV per atom
- Fermi-level density of states: 0.56 states/eV/atom
- Volume: 168.0 Å³/f.u.

=====

Record 6
Here is crystalline CeNdBiN at its relaxed geometry from Alexandria via LeMat-Bulk. Energies are from PBE-GGA.

a = 4.676 Å, b = 4.676 Å, c = 9.340 Å
α = 90.00°, β = 90.00°, γ = 90.00°
Space group P4/nmm (No. 129, origin choice 2)
Inequivalent atoms, fractional coordinates:
Ce1 0.250 0.750 0.000 x2
Nd1 0.250 0.250 0.330 x2
Bi1 0.250 0.250 0.696 x2
N1 0.250 0.250 0.079 x2

## Properties
- Formation energy without anion corrections: -1.177 eV per atom
- Fermi-level density of states: 1.22 states/eV/atom
- Volume: 102.1 Å³/f.u.